# NaRh3O6

A relaxed NaRh3O6 crystal (PBE, Alexandria).

Unit cell a=3.113 b=8.471 c=9.580 alpha=108.22 beta=90.00 gamma=90.00
Atoms (fractional coordinates):
O 0.250 0.227 0.328
O 0.250 0.440 0.593
O 0.250 0.078 0.790
O 0.250 0.627 0.152
O 0.750 0.560 0.407
O 0.250 0.864 0.937
O 0.250 0.822 0.425
O 0.750 0.136 0.063
O 0.750 0.373 0.848
O 0.750 0.773 0.672
O 0.750 0.178 0.575
O 0.750 0.922 0.210
Rh 0.250 0.268 0.715
Rh 0.250 0.032 0.149
Rh 0.250 0.672 0.547
Rh 0.750 0.732 0.285
Rh 0.750 0.328 0.453
Rh 0.750 0.968 0.851
Na 0.750 0.656 0.955
Na 0.250 0.344 0.045

Calculated values
Formation energy (no corrections) (meV per atom): -863
Total energy (eV per cell): -123.50
V (A^3/atom): 12.00
Space-group type: P2_1/m